K2NbMoO6: optimized geometry, GGA+U.

Properties
Calculated total energy (eV per atom): -6.999
Density of states at the Fermi level (states/eV/f.u.): 1.1

Cell lengths 4.033, 5.697, 5.697 Å; angles 90.00, 90.00, 90.00 degrees
Each line ends with the local moment (μB).
Element x y z (fractional)
O 0.645 0.252 0.252  -0.02
O 0.645 0.748 0.252  -0.02
O 0.645 0.748 0.748  -0.02
O 0.645 0.252 0.748  -0.02
O 0.145 0.000 0.000  0.00
O 0.145 0.500 0.500  -0.10
K 0.145 0.000 0.500  0.00
K 0.145 0.500 0.000  0.00
Nb 0.645 0.000 0.000  0.13
Mo 0.645 0.500 0.500  1.04